! PBE+U RbFeMoF6, relaxed; values from VASP
! **Fermi-level density of states**: 0.0 states/eV/f.u.
! **Uncorrected energy**: -0.1981 Ha/atom
! **Space group**: Imma, No. 74
&SYSTEM
  ibrav = 0, nat = 18, ntyp = 4
/
ATOMIC_SPECIES
Rb 85.47 Rb.upf
Mo 95.94 Mo.upf
F 19.00 F.upf
Fe 55.84 Fe.upf
CELL_PARAMETERS angstrom
-3.0725 -6.4886 -3.0409
1.9344 -3.8098 6.1747
-4.2924 6.3812 0.7163
ATOMIC_POSITIONS angstrom
Rb -4.3309 -3.3660 1.5628
Mo -2.1462 3.1906 0.3581
F -0.2515 -2.4260 5.4305
F -1.1359 -3.6988 3.0218
F -3.0721 2.3634 2.0382
F -3.4877 -4.0565 -1.7927
F -4.2946 -0.2184 0.8283
F -3.1654 -2.4424 4.4328
Rb -1.0997 -0.5512 2.2873
F -3.7350 0.1167 3.5249
F -1.6955 -4.0338 0.3251
F -2.3585 -6.2805 1.8119
Fe -1.5363 -3.2443 -1.5205
F -1.9428 0.1393 5.6428
Fe -0.5691 -5.1492 1.5669
F -2.2651 -1.4747 -0.5827
F -5.1791 -1.4912 -1.5804
Mo -3.6825 -0.0537 -1.1623